# 1
A geometry-optimized MgGa3Ni4 structure, computed with GGA-PBE.

Unit cell a=4.162 b=4.162 c=7.201 alpha=73.20 beta=73.20 gamma=60.00
Fractional coordinates of all 8 atoms:
1 Ni 0.870 0.870 0.389
2 Ni 0.381 0.381 0.856
3 Ni 0.130 0.130 0.611
4 Ni 0.619 0.619 0.144
5 Mg 0.000 0.000 0.000
6 Ga 0.255 0.255 0.236
7 Ga 0.745 0.745 0.764
8 Ga 0.500 0.500 0.500

# 2
A geometry-optimized MgGa2Ni2 structure, computed with GGA-PBE.

The value obtained for the energy above the lowest structure with this stoichiometry is 7 meV/atom.

Unit cell a=4.204 b=4.204 c=4.853 alpha=90.00 beta=90.00 gamma=120.00
Fractional coordinates of all 5 atoms:
1 Mg 0.000 0.000 0.000
2 Ga 0.333 0.667 0.649
3 Ga 0.667 0.333 0.351
4 Ni 0.333 0.667 0.151
5 Ni 0.667 0.333 0.849

# 3
A geometry-optimized Mg3GaNi4 structure, computed with GGA-PBE.

Unit cell a=4.140 b=4.139 c=6.973 alpha=107.29 beta=107.29 gamma=89.95
Fractional coordinates of all 8 atoms:
1 Ni 0.382 0.383 0.765
2 Ni 0.618 0.617 0.235
3 Ni 0.117 0.118 0.235
4 Ni 0.883 0.882 0.765
5 Mg 0.000 0.500 0.000
6 Mg 0.750 0.250 0.499
7 Mg 0.250 0.750 0.501
8 Ga 0.500 0.000 0.000

# 4
A geometry-optimized MgGa2Ni structure, computed with GGA-PBE.

Unit cell a=3.941 b=3.941 c=9.318 alpha=77.79 beta=77.79 gamma=90.00
Fractional coordinates of all 8 atoms:
1 Ni 0.000 0.000 0.000
2 Ni 0.750 0.250 0.500
3 Mg 0.500 0.500 0.000
4 Mg 0.250 0.750 0.500
5 Ga 0.659 0.125 0.250
6 Ga 0.091 0.625 0.250
7 Ga 0.375 0.341 0.750
8 Ga 0.875 0.909 0.750

| no. | energy relative to the elements (meV/atom) | DOS at the Fermi energy (states/eV/cell) |
| --- | --- | --- |
| 1 | -370 | 2.900 |
| 2 | -330 | 4.089 |
| 3 | -244 | 5.209 |
| 4 | 16 | 4.203 |